No. 1
The following is a PBE-GGA calculation of a relaxed TaBe2NbSe crystal, from the Alexandria database.

Geometry as POSCAR:
```
TaBe2NbSe
1.0
4.176 0.000 0.000
0.000 4.176 0.000
0.000 0.000 4.840
Ta Be Nb Se
1 2 1 1
direct
0.000 0.000 0.000
0.000 0.500 0.500
0.500 0.000 0.500
0.500 0.500 0.000
0.000 0.000 0.500
```

Magnetic moment: 0.0000 μB/atom
DFT total energy: -27.99 eV/cell

***

No. 2
The following is a PBE-GGA calculation of a relaxed YBeNb2Se crystal, from the Alexandria database.

Geometry as POSCAR:
```
YBeNb2Se
1.0
4.402 0.000 0.000
0.000 4.402 0.000
0.000 0.000 5.228
Y Be Nb Se
1 1 2 1
direct
0.000 0.000 0.000
0.000 0.000 0.500
0.000 0.500 0.500
0.500 0.000 0.500
0.500 0.500 0.000
```

Magnetic moment: 0.0001 μB/atom
DFT total energy: -32.23 eV/cell

***

No. 3
The following is a PBE-GGA calculation of a relaxed BeNb2ZnSe crystal, from the Alexandria database.

Geometry as POSCAR:
```
BeNb2ZnSe
1.0
4.615 0.000 0.000
0.000 4.615 0.000
0.000 0.000 3.873
Be Nb Zn Se
1 2 1 1
direct
0.000 0.000 0.000
0.000 0.500 0.000
0.500 0.000 0.000
0.000 0.000 0.500
0.500 0.500 0.500
```

Magnetic moment: 0.0000 μB/atom
DFT total energy: -26.48 eV/cell

***

| no. | DOS(E_F) (states/eV/cell) |
| --- | --- |
| 1 | 3.64 |
| 2 | 6.71 |
| 3 | 5.62 |